TlFePd2 | PBE-GGA | relaxed

## Properties
Theoretical density, Mg/m³: 10.7
Uncorrected energy, eV per atom: -5.1244

Cell: 9.6525 9.6525 9.6525 Å, 17.79 17.79 17.79°
With the nearest neighbours (Å) after each atom.
Element x y z (fractional)
Tl 0.0000 0.0000 0.0000  2 Pd 2.81, 6 Tl 2.98
Fe 0.5000 0.5000 0.5000  6 Pd 2.59
Pd 0.0986 0.0986 0.0986  3 Fe 2.59, 1 Tl 2.81
Pd 0.9014 0.9014 0.9014  3 Fe 2.59, 1 Tl 2.81


TlFePd2 | PBE-GGA | relaxed

## Properties
Theoretical density, Mg/m³: 10.8
Uncorrected energy, eV per atom: -4.9837

Cell: 9.6371 9.6371 9.6371 Å, 156.22 156.22 33.89°
With the nearest neighbours (Å) after each atom.
Element x y z (fractional)
Tl 0.0000 0.0000 0.0000  4 Pd 2.72, 4 Fe 2.81
Tl 0.7500 0.2500 0.5000  4 Pd 2.72, 4 Fe 2.81
Fe 0.2500 0.7500 0.5000  4 Pd 2.68, 4 Tl 2.81
Fe 0.5000 0.5000 0.0000  4 Pd 2.68, 4 Tl 2.81
Pd 0.1402 0.6250 0.0152  2 Fe 2.68, 2 Tl 2.72, 4 Pd 2.72-2.90
Pd 0.3750 0.3902 0.5152  2 Fe 2.68, 2 Tl 2.72, 4 Pd 2.72-2.90
Pd 0.6098 0.1250 0.9848  2 Fe 2.68, 2 Tl 2.72, 4 Pd 2.72-2.90
Pd 0.8750 0.8598 0.4848  2 Fe 2.68, 2 Tl 2.72, 4 Pd 2.72-2.90


Tl2Fe2Pd | PBE-GGA | relaxed

## Properties
Excess energy over the best structure of this formula in the dataset, eV/atom: 0.000
Theoretical density, Mg/m³: 11.4
Uncorrected energy, eV per atom: -4.9521

Cell: 6.7329 6.7329 4.0123 Å, 90.00 90.00 90.00°
With the nearest neighbours (Å) after each atom.
Element x y z (fractional)
Tl 0.1828 0.3172 0.0000  6 Fe 2.76-2.89
Tl 0.3172 0.8172 0.0000  6 Fe 2.76-2.89
Tl 0.6828 0.1828 0.0000  6 Fe 2.76-2.89
Tl 0.8172 0.6828 0.0000  6 Fe 2.76-2.89
Fe 0.1185 0.6185 0.5000  1 Fe 2.26
Fe 0.3815 0.1185 0.5000  1 Fe 2.26
Fe 0.6185 0.8815 0.5000  1 Fe 2.26
Fe 0.8815 0.3815 0.5000  1 Fe 2.26
Pd 0.0000 0.0000 0.5000  4 Fe 2.69
Pd 0.5000 0.5000 0.5000  4 Fe 2.69


TlFe3Pd | PBE-GGA | relaxed

## Properties
Excess energy over the best structure of this formula in the dataset, eV/atom: 0.000
Theoretical density, Mg/m³: 7.6
Uncorrected energy, eV per atom: -5.5394

Cell: 4.7077 4.7077 4.7077 Å, 90.00 90.00 90.00°
With the nearest neighbours (Å) after each atom.
Element x y z (fractional)
Tl 0.0000 0.0000 0.0000  12 Fe 3.33
Fe 0.0000 0.5000 0.5000  2 Pd 2.35
Fe 0.5000 0.0000 0.5000  2 Pd 2.35
Fe 0.5000 0.5000 0.0000  2 Pd 2.35
Pd 0.5000 0.5000 0.5000  6 Fe 2.35


Zr2TlFePd | PBE-GGA | relaxed

## Properties
Theoretical density, Mg/m³: 8.4
Uncorrected energy, eV per atom: -6.3905

Cell: 4.7045 4.7045 4.9057 Å, 90.00 90.00 90.00°
With the nearest neighbours (Å) after each atom.
Element x y z (fractional)
Zr 0.0000 0.5000 0.0000  2 Fe 2.35
Zr 0.5000 0.0000 0.0000  2 Fe 2.35
Tl 0.0000 0.0000 0.5000  2 Fe 2.45
Fe 0.0000 0.0000 0.0000  4 Zr 2.35, 2 Tl 2.45
Pd 0.5000 0.5000 0.5000  4 Tl 3.33, 8 Zr 3.40


ZrTl2FePd | PBE-GGA | relaxed

## Properties
Theoretical density, Mg/m³: 9.7
Uncorrected energy, eV per atom: -5.0052

Cell: 4.9766 4.9766 4.5823 Å, 90.00 90.00 90.00°
With the nearest neighbours (Å) after each atom.
Element x y z (fractional)
Zr 0.0000 0.0000 0.0000  2 Fe 2.29
Tl 0.0000 0.5000 0.5000  2 Fe 2.49
Tl 0.5000 0.0000 0.5000  2 Fe 2.49
Fe 0.0000 0.0000 0.5000  2 Zr 2.29, 4 Tl 2.49
Pd 0.5000 0.5000 0.0000  8 Tl 3.38, 4 Zr 3.52